Entry from the Alexandria database: crystalline Na3FeO4 at its relaxed geometry (PBE with a Hubbard U).

Cell lengths 5.761, 6.503, 5.338 Å; angles 90.00, 110.13, 90.00 degrees
Sites, in units of the cell vectors:
Na 0.000 0.119 0.250
Na 0.000 0.374 0.750
Na 0.000 0.626 0.250
Na 0.000 0.881 0.750
Na 0.500 0.381 0.250
Na 0.500 0.619 0.750
Fe 0.500 0.126 0.750
Fe 0.500 0.874 0.250
O 0.281 0.323 0.551
O 0.281 0.677 0.051
O 0.313 0.096 0.991
O 0.313 0.904 0.491
O 0.687 0.096 0.509
O 0.687 0.904 0.009
O 0.719 0.323 0.949
O 0.719 0.677 0.449

Values from the calculation:
Uncorrected energy in eV per atom: -4.94